Record 1
A crystal of CaHg2I2 relaxed with PBEsol, computed with SCAN.

a b c (Å): 4.0200 4.0200 20.3489
angles (deg): 90.00 90.00 90.00
Last column: nearest neighbours and their distance in Å.
Atoms (fractional coordinates):
Ca1 0.0000 0.0000 0.0000  8 I 3.37
Ca2 0.5000 0.5000 0.5000  8 I 3.37
Hg1 0.0000 0.5000 0.2500  4 Hg 2.84
Hg2 0.0000 0.5000 0.7500  4 Hg 2.84
Hg3 0.5000 0.0000 0.2500  4 Hg 2.84
Hg4 0.5000 0.0000 0.7500  4 Hg 2.84
I1 0.0000 0.0000 0.4108  4 Ca 3.37, 1 I 3.63
I2 0.0000 0.0000 0.5892  4 Ca 3.37, 1 I 3.63
I3 0.5000 0.5000 0.0892  4 Ca 3.37, 1 I 3.63
I4 0.5000 0.5000 0.9108  4 Ca 3.37, 1 I 3.63

Calculated values
**Calculated total energy**: -447.46 eV per cell
**Density**: 7.02 g cm⁻³
**Total moment**: 0.00 μB/atom
**Volume**: 32.88 A^3/atom
**Offset from the most stable computed form**: 0.000 eV per atom
**Formation energy without anion corrections**: -0.851 eV per atom

---

Record 2
A crystal of CaHgTe2I relaxed with PBEsol, computed with SCAN.

a b c (Å): 5.5162 5.5162 5.8908
angles (deg): 90.00 90.00 90.00
Last column: nearest neighbours and their distance in Å.
Atoms (fractional coordinates):
Ca1 0.0000 0.0000 0.0000  4 I 3.90, 8 Te 4.04
Hg1 0.5000 0.5000 0.5000  4 Te 2.76, 2 I 2.95
Te1 0.0000 0.5000 0.5000  2 Hg 2.76
Te2 0.5000 0.0000 0.5000  2 Hg 2.76
I1 0.5000 0.5000 0.0000  2 Hg 2.95

Calculated values
**Calculated total energy**: -190.54 eV per cell
**Density**: 5.77 g cm⁻³
**Total moment**: 0.00 μB/atom
**Volume**: 35.85 A^3/atom
**Formation energy without anion corrections**: -0.293 eV per atom

---

Record 3
A crystal of CaIn2Hg relaxed with PBEsol, computed with SCAN.

a b c (Å): 3.7107 3.7107 7.2504
angles (deg): 90.00 90.00 90.00
Last column: nearest neighbours and their distance in Å.
Atoms (fractional coordinates):
Ca1 0.0000 0.0000 0.0000  4 Hg 3.18, 5 In 3.33-3.48
In1 0.0000 0.0000 0.4800  4 Hg 3.11, 4 In 3.13, 1 Ca 3.48
In2 0.5000 0.5000 0.7162  4 In 3.13, 4 Ca 3.33, 1 Hg 3.39
Hg1 0.5000 0.5000 0.2485  5 In 3.11-3.39, 4 Ca 3.18

Calculated values
**Energy relative to the elements**: -1.463 eV/f.u.
**Calculated total energy**: -146.07 eV per cell
**Density**: 7.82 g cm⁻³
**Total moment**: 0.00 μB/atom
**Volume**: 24.96 A^3/atom

---

What is the calculated total energy in the first record? -447.46 eV per cell

---

The lowest density belongs to which entry? CaHgTe2I